# PBE+U Y2MnAgO5, optimized geometry
data_Y2MnAgO5
_symmetry_space_group_name_H-M 'P 4/m b m'
_symmetry_Int_Tables_number 127
_symmetry_space_group_name_Hall '-P 4 2ab'
_cell_length_a 6.526
_cell_length_b 6.526
_cell_length_c 5.677
_cell_angle_alpha 90.00
_cell_angle_beta 90.00
_cell_angle_gamma 90.00
loop_
_atom_site_label
_atom_site_type_symbol
_atom_site_fract_x
_atom_site_fract_y
_atom_site_fract_z
Y1 Y 0.177 0.323 0.000
Mn1 Mn 0.000 0.500 0.500
Ag1 Ag 0.000 0.000 0.500
O1 O 0.000 0.000 0.000
O2 O 0.136 0.636 0.251
# electronic total energy	-136.743	eV for the cell shown